Density functional theory data (PBE) for crystalline NbV4Sb at its relaxed geometry.

It has space group F-43m (No. 216), with a = 7.163 Å, b = 7.163 Å, c = 7.163 Å, α = 90.00°, β = 90.00° and γ = 90.00°. The asymmetric unit holds Nb at (0.000, 0.000, 0.000), V at (0.126, 0.126, 0.626) and Sb at (0.250, 0.250, 0.250).

The value obtained for the total energy is -8.4470 eV/atom. The calculation puts the mass density at 7.6 g/cm3.

Density functional theory data (PBE) for crystalline NbVSb3 at its relaxed geometry.

It has space group Pm-3m (No. 221), with a = 5.340 Å, b = 5.340 Å, c = 5.340 Å, α = 90.00°, β = 90.00° and γ = 90.00°. The asymmetric unit holds Nb at (0.000, 0.000, 0.000), V at (0.500, 0.500, 0.500) and Sb at (0.000, 0.000, 0.500).

The value obtained for the total energy is -5.4788 eV/atom. The calculation puts the mass density at 5.6 g/cm3. The value obtained for the offset from the most stable computed form is 0 meV/atom.

Density functional theory data (PBE) for crystalline NbVZn2Sb at its relaxed geometry.

It has space group P4/mmm (No. 123), with a = 4.825 Å, b = 4.825 Å, c = 4.883 Å, α = 90.00°, β = 90.00° and γ = 90.00°. The asymmetric unit holds Nb at (0.000, 0.000, 0.000), V at (0.500, 0.500, 0.000), Zn at (0.000, 0.500, 0.500) and Sb at (0.500, 0.500, 0.500).

The value obtained for the total energy is -3.7109 eV/atom. The calculation puts the mass density at 5.8 g/cm3.